[1]
## Dy2Bi (PBE)

Data for a geometry-optimized Dy2Bi structure.

Cell and atoms, written as POSCAR:
```
Dy2Bi
1.0
6.068 -2.261 0.000
6.068 2.261 0.000
-2.747 0.000 6.536
Dy Bi
4 2
direct
0.015 0.015 0.271
0.325 0.325 0.895
0.675 0.675 0.105
0.985 0.985 0.729
0.340 0.340 0.387
0.660 0.660 0.613
```

Computed properties:
The total energy is -4.84 eV/atom. As for the total magnetic moment: 0.000 μB per cell. As for the calculated volume: 29.90 Å³ per atom. The calculation puts the formation energy at -0.482 eV per atom.

***

[2]
## Sr2ZrRu (PBE)

Data for a geometry-optimized Sr2ZrRu structure.

Cell and atoms, written as POSCAR:
```
Sr2ZrRu
1.0
3.755 -2.166 0.000
3.755 2.166 0.000
-2.492 0.000 8.942
Sr Zr Ru
2 1 1
direct
0.000 0.000 0.000
0.188 0.188 0.566
0.761 0.761 0.283
0.427 0.427 0.282
```

Computed properties:
The total energy is -5.23 eV/atom. The calculation puts the polymorph energy (0 for the lowest one) at 21 meV per atom. As for the total magnetic moment: 0.004 μB per cell. As for the calculated volume: 36.36 Å³ per atom. The calculation puts the formation energy at 0.072 eV per atom.

***

[3]
## SrZnCu3 (PBE)

Data for a geometry-optimized SrZnCu3 structure.

Cell and atoms, written as POSCAR:
```
SrZnCu3
1.0
8.960 0.000 0.000
0.000 4.284 0.000
0.000 0.000 9.814
Sr Zn Cu
4 4 12
direct
0.182 0.250 0.016
0.318 0.750 0.516
0.682 0.250 0.484
0.818 0.750 0.984
0.051 0.250 0.628
0.449 0.750 0.128
0.551 0.250 0.872
0.949 0.750 0.372
0.103 0.250 0.357
0.135 0.750 0.771
0.195 0.750 0.242
0.305 0.250 0.742
0.365 0.250 0.271
0.397 0.750 0.857
0.603 0.250 0.143
0.635 0.750 0.729
0.695 0.750 0.258
0.805 0.250 0.758
0.865 0.250 0.229
0.897 0.750 0.643
```

Computed properties:
The total energy is -3.09 eV/atom. The calculation puts the polymorph energy (0 for the lowest one) at 48 meV per atom. As for the total magnetic moment: 0.000 μB per cell. As for the calculated volume: 18.84 Å³ per atom. The calculation puts the formation energy at -0.037 eV per atom.

***

[4]
## Dy4Rh2Au (PBE)

Data for a geometry-optimized Dy4Rh2Au structure.

Cell and atoms, written as POSCAR:
```
Dy4Rh2Au
1.0
0.000 6.211 4.308
6.187 0.000 4.308
6.187 6.211 0.000
Dy Rh Au
8 4 2
direct
0.077 0.208 0.039
0.208 0.077 0.676
0.211 0.574 0.173
0.318 0.682 0.436
0.574 0.211 0.042
0.682 0.318 0.564
0.686 0.814 0.568
0.814 0.686 0.932
0.318 0.575 0.804
0.446 0.947 0.932
0.575 0.318 0.303
0.947 0.446 0.675
0.072 0.072 0.428
0.822 0.822 0.178
```

Computed properties:
The total energy is -5.95 eV/atom. As for the total magnetic moment: 0.000 μB per cell. As for the calculated volume: 23.65 Å³ per atom. The calculation puts the formation energy at -0.752 eV per atom.

***

[5]
## Na2AgBi (PBE)

Data for a geometry-optimized Na2AgBi structure.

Cell and atoms, written as POSCAR:
```
Na2AgBi
1.0
1.713 0.989 11.028
-1.713 0.989 11.028
0.000 -1.978 11.028
Na Ag Bi
2 1 1
direct
0.095 0.095 0.095
0.905 0.905 0.905
0.500 0.500 0.500
0.000 0.000 0.000
```

Computed properties:
The total energy is -2.29 eV/atom. As for the total magnetic moment: 0.000 μB per cell. As for the calculated volume: 28.02 Å³ per atom. The calculation puts the formation energy at 0.057 eV per atom.

***

[6]
## Pr6Hg3C (PBE)

Data for a geometry-optimized Pr6Hg3C structure.

Cell and atoms, written as POSCAR:
```
Pr6Hg3C
1.0
3.814 0.000 0.000
-0.012 11.315 0.000
-1.896 -2.110 13.822
Pr Hg C
12 6 2
direct
0.024 0.360 0.048
0.079 0.974 0.156
0.196 0.548 0.398
0.300 0.970 0.603
0.372 0.701 0.741
0.405 0.403 0.809
0.595 0.597 0.191
0.628 0.299 0.259
0.700 0.030 0.397
0.804 0.452 0.602
0.921 0.026 0.844
0.976 0.640 0.952
0.167 0.806 0.332
0.230 0.263 0.456
0.484 0.866 0.968
0.516 0.134 0.032
0.770 0.737 0.544
0.833 0.194 0.668
0.110 0.446 0.224
0.890 0.554 0.776
```

Computed properties:
The total energy is -4.12 eV/atom. The calculation puts the polymorph energy (0 for the lowest one) at 21 meV per atom. As for the total magnetic moment: 0.000 μB per cell. As for the calculated volume: 29.83 Å³ per atom. The calculation puts the formation energy at -0.239 eV per atom.

***

[7]
## Li3Mg6In2 (PBE)

Data for a geometry-optimized Li3Mg6In2 structure.

Cell and atoms, written as POSCAR:
```
Li3Mg6In2
1.0
5.643 0.000 0.000
0.216 6.141 0.000
2.403 1.660 6.781
Li Mg In
3 6 2
direct
0.000 0.000 0.000
0.192 0.644 0.260
0.808 0.356 0.740
0.097 0.806 0.634
0.275 0.444 0.920
0.466 0.079 0.190
0.534 0.921 0.810
0.725 0.556 0.080
0.903 0.194 0.366
0.325 0.287 0.551
0.675 0.713 0.449
```

Computed properties:
The total energy is -1.99 eV/atom. As for the total magnetic moment: 0.000 μB per cell. As for the calculated volume: 21.36 Å³ per atom. The calculation puts the formation energy at -0.104 eV per atom.

***

[8]
## Zn3Ag (PBE)

Data for a geometry-optimized Zn3Ag structure.

Cell and atoms, written as POSCAR:
```
Zn3Ag
1.0
5.051 0.000 0.000
0.000 5.051 0.000
0.000 0.000 5.051
Zn Ag
6 2
direct
0.000 0.250 0.500
0.000 0.750 0.500
0.250 0.500 0.000
0.500 0.000 0.250
0.500 0.000 0.750
0.750 0.500 0.000
0.000 0.000 0.000
0.500 0.500 0.500
```

Computed properties:
The total energy is -1.66 eV/atom. As for the total magnetic moment: 0.000 μB per cell. As for the calculated volume: 16.11 Å³ per atom. The calculation puts the formation energy at 0.013 eV per atom.

***

- Which of these has the highest calculated volume?
  Sr2ZrRu